! MoAsO3 (PBE+U, relaxed); values from VASP
&SYSTEM
  ibrav = 0, nat = 5, ntyp = 3
/
ATOMIC_SPECIES
Mo 95.94 Mo.upf
As 74.92 As.upf
O 16.00 O.upf
CELL_PARAMETERS angstrom
3.871 0.000 0.000
0.000 3.871 0.000
0.000 0.000 3.871
ATOMIC_POSITIONS crystal
Mo 0.000 0.000 0.000
As 0.500 0.500 0.500
O 0.000 0.500 0.500
O 0.500 0.000 0.500
O 0.500 0.500 0.000
! - crystal system = cubic
! - DOS at the Fermi energy (states/eV/f.u.) = 3.92
! - total DFT energy (no corrections) (eV for the cell shown) = -28.72
! - spin magnetization (μB/f.u.) = 4.1